(1)
{
  "formula": "ZrTlW",
  "functional": "PBE-GGA",
  "state": "optimized geometry",
  "lattice_angstrom": [[3.528, 0.000, 0.000], [0.000, 4.956, 0.000], [0.000, 0.000, 14.229]],
  "species": ["Zr", "Zr", "Zr", "Zr", "Tl", "Tl", "Tl", "Tl", "W", "W", "W", "W"],
  "frac_coords": [[0.000, 0.000, 0.000], [0.000, 0.500, 0.500], [0.500, 0.000, 0.500], [0.500, 0.500, 0.000], [0.000, 0.000, 0.683], [0.000, 0.500, 0.183], [0.500, 0.000, 0.183], [0.500, 0.500, 0.683], [0.000, 0.000, 0.350], [0.000, 0.500, 0.850], [0.500, 0.000, 0.850], [0.500, 0.500, 0.350]],
  "relative_energy_ev_per_atom": 0.004,
  "dft_energy_ev_per_atom": -7.542,
  "formation_enthalpy_0k_ev_per_atom": 0.414,
  "sg": "Fmm2, No. 42"
}

(2)
{
  "formula": "La2YReCl",
  "functional": "PBE-GGA",
  "state": "optimized geometry",
  "lattice_angstrom": [[6.070, 0.000, 0.000], [0.000, 6.070, 0.000], [0.000, 0.000, 4.795]],
  "species": ["La", "La", "Y", "Re", "Cl"],
  "frac_coords": [[0.000, 0.500, 0.000], [0.500, 0.000, 0.000], [0.000, 0.000, 0.000], [0.000, 0.000, 0.500], [0.500, 0.500, 0.500]],
  "dft_energy_ev_per_atom": -5.209,
  "sg": "P4/mmm, No. 123",
  "formation_energy_uncorrected_ev_per_atom": 0.91
}

(3)
{
  "formula": "NpHgBi",
  "functional": "PBE-GGA",
  "state": "optimized geometry",
  "lattice_angstrom": [[1.766, 1.019, 15.410], [-1.766, 1.019, 15.410], [0.000, -2.039, 15.410]],
  "species": ["Np", "Np", "Hg", "Hg", "Bi", "Bi"],
  "frac_coords": [[0.181, 0.181, 0.181], [0.819, 0.819, 0.819], [0.362, 0.362, 0.362], [0.638, 0.638, 0.638], [0.094, 0.094, 0.094], [0.906, 0.906, 0.906]],
  "relative_energy_ev_per_atom": 0.000,
  "dft_energy_ev_per_atom": -5.646,
  "formation_enthalpy_0k_ev_per_atom": 0.062,
  "sg": "R-3m, No. 166"
}

(4)
{
  "formula": "NaSiTc2",
  "functional": "PBE-GGA",
  "state": "optimized geometry",
  "lattice_angstrom": [[6.111, 0.000, 0.000], [0.000, 6.111, 0.000], [0.000, 0.000, 6.111]],
  "species": ["Na", "Na", "Na", "Na", "Si", "Si", "Si", "Si", "Tc", "Tc", "Tc", "Tc", "Tc", "Tc", "Tc", "Tc"],
  "frac_coords": [[0.000, 0.000, 0.000], [0.000, 0.500, 0.500], [0.500, 0.000, 0.500], [0.500, 0.500, 0.000], [0.000, 0.000, 0.500], [0.000, 0.500, 0.000], [0.500, 0.000, 0.000], [0.500, 0.500, 0.500], [0.250, 0.250, 0.250], [0.250, 0.250, 0.750], [0.250, 0.750, 0.250], [0.250, 0.750, 0.750], [0.750, 0.250, 0.250], [0.750, 0.250, 0.750], [0.750, 0.750, 0.250], [0.750, 0.750, 0.750]],
  "relative_energy_ev_per_atom": 0.000,
  "dft_energy_ev_per_atom": -6.301,
  "sg": "Fm-3m, No. 225",
  "formation_energy_uncorrected_ev_per_atom": 0.57
}

(5)
{
  "formula": "V6FeIr",
  "functional": "PBE-GGA",
  "state": "optimized geometry",
  "lattice_angstrom": [[4.718, 0.000, 0.000], [0.000, 4.718, 0.000], [0.000, 0.000, 4.718]],
  "species": ["V", "V", "V", "V", "V", "V", "Fe", "Ir"],
  "frac_coords": [[0.000, 0.245, 0.500], [0.000, 0.755, 0.500], [0.245, 0.500, 0.000], [0.500, 0.000, 0.245], [0.500, 0.000, 0.755], [0.755, 0.500, 0.000], [0.000, 0.000, 0.000], [0.500, 0.500, 0.500]],
  "relative_energy_ev_per_atom": 0.000,
  "dft_energy_ev_per_atom": -9.336,
  "formation_enthalpy_0k_ev_per_atom": -0.332,
  "sg": "Pm-3, No. 200"
}

(6)
{
  "formula": "ScFeCuSn",
  "functional": "PBE-GGA",
  "state": "optimized geometry",
  "lattice_angstrom": [[6.364, 0.000, 0.000], [0.000, 6.364, 0.000], [0.000, 0.000, 6.364]],
  "species": ["Sc", "Sc", "Sc", "Sc", "Fe", "Fe", "Fe", "Fe", "Cu", "Cu", "Cu", "Cu", "Sn", "Sn", "Sn", "Sn"],
  "frac_coords": [[0.000, 0.000, 0.000], [0.000, 0.500, 0.500], [0.500, 0.000, 0.500], [0.500, 0.500, 0.000], [0.250, 0.250, 0.250], [0.250, 0.750, 0.750], [0.750, 0.250, 0.750], [0.750, 0.750, 0.250], [0.250, 0.250, 0.750], [0.250, 0.750, 0.250], [0.750, 0.250, 0.250], [0.750, 0.750, 0.750], [0.000, 0.000, 0.500], [0.000, 0.500, 0.000], [0.500, 0.000, 0.000], [0.500, 0.500, 0.500]],
  "dft_energy_ev_per_atom": -5.896,
  "formation_enthalpy_0k_ev_per_atom": -0.173,
  "sg": "F-43m, No. 216"
}